First-principles (SCAN) data for a PBEsol-optimized structure of MgRhPb, as listed in Alexandria via LeMat-Bulk.

Calculated values
formation energy	-0.297	eV per atom
calculated total energy	-38.473	eV/atom
calculated density	8.81	g cm⁻³
symmetry	F-43m (216)

Lattice parameters (Å, degrees): 4.466 4.466 4.466 60.00 60.00 60.00
Fractional positions:
Mg 0.000 0.000 0.000
Rh 0.750 0.750 0.750
Pb 0.500 0.500 0.500



First-principles (SCAN) data for a PBEsol-optimized structure of Mg2RuRhPb, as listed in Alexandria via LeMat-Bulk.

Calculated values
formation energy	0.673	eV per atom
calculated total energy	-30.192	eV/atom
calculated density	6.78	g cm⁻³
symmetry	P4/mmm (123)

Lattice parameters (Å, degrees): 4.737 4.737 5.021 90.00 90.00 90.00
Fractional positions:
Mg 0.000 0.500 0.000
Mg 0.500 0.000 0.000
Ru 0.000 0.000 0.000
Rh 0.500 0.500 0.500
Pb 0.000 0.000 0.500



First-principles (SCAN) data for a PBEsol-optimized structure of Mg2ScRhPb, as listed in Alexandria via LeMat-Bulk.

Calculated values
formation energy	0.616	eV per atom
calculated total energy	-26.131	eV/atom
calculated density	4.96	g cm⁻³
symmetry	P4/mmm (123)

Lattice parameters (Å, degrees): 5.500 5.500 4.468 90.00 90.00 90.00
Fractional positions:
Mg 0.000 0.500 0.000
Mg 0.500 0.000 0.000
Sc 0.000 0.000 0.000
Rh 0.000 0.000 0.500
Pb 0.500 0.500 0.500



Question: Look up the calculated density of the first one.
Answer: 8.81 g cm⁻³



Question: Which value of calculated density does entry 3 give?
Answer: 4.96 g cm⁻³



Question: Which formula does entry 2 have?
Answer: Mg2RuRhPb



What did the second record say?
First-principles (SCAN) data for a PBEsol-optimized structure of Mg2RuRhPb, as listed in Alexandria via LeMat-Bulk.

Calculated values
formation energy	0.673	eV per atom
calculated total energy	-30.192	eV/atom
calculated density	6.78	g cm⁻³
symmetry	P4/mmm (123)

Lattice parameters (Å, degrees): 4.737 4.737 5.021 90.00 90.00 90.00
Fractional positions:
Mg 0.000 0.500 0.000
Mg 0.500 0.000 0.000
Ru 0.000 0.000 0.000
Rh 0.500 0.500 0.500
Pb 0.000 0.000 0.500